Here is an optimized crystal structure of Mg2CrW from Alexandria. Energies are from PBE.

abc: 6.4046 6.4046 6.4046
angles: 90.00 90.00 90.00
With the nearest neighbours (Å) after each atom.
Space group F-43m (No. 216)
Unique sites:
Mg1 0.0000 0.0000 0.0000 x4  4 Mg 2.77, 4 W 2.77
Mg2 0.2500 0.2500 0.2500 x4  4 Cr 2.77, 4 Mg 2.77
Cr1 0.0000 0.0000 0.5000 x4  4 W 2.77, 4 Mg 2.77
W1 0.2500 0.2500 0.7500 x4  4 Cr 2.77, 4 Mg 2.77

Raw total energy (eV per atom): -5.9355
Size of the total moment (μB per cell): 7.72
DFT formation energy (meV/atom): 506
Mass density (g/cm³): 7.2
ΔE to the lowest computed polymorph (eV per atom): 0.217